1.
A geometry-optimized Cs2YbCl4 structure. Source: Alexandria via LeMat-Bulk, functional GGA-PBE.

Lattice parameters (Å, degrees): 5.403 5.403 9.528 106.48 106.48 90.00
Sites, in units of the cell vectors:
1 Cl 0.844 0.844 0.688
2 Cl 0.156 0.156 0.312
3 Cl 0.000 0.500 0.000
4 Cl 0.500 0.000 0.000
5 Yb 0.000 0.000 0.000
6 Cs 0.355 0.355 0.711
7 Cs 0.645 0.645 0.289

Results
Space-group type: I4/mmm, No. 139



2.
A geometry-optimized Cs2ZnCl4 structure. Source: Alexandria via LeMat-Bulk, functional GGA-PBE.

Lattice parameters (Å, degrees): 7.368 9.985 13.591 90.00 90.00 90.00
Sites, in units of the cell vectors:
1 Cl 0.999 0.824 0.149
2 Cl 0.001 0.676 0.649
3 Cl 0.001 0.176 0.851
4 Cl 0.250 0.692 0.415
5 Cl 0.750 0.808 0.915
6 Cl 0.250 0.495 0.910
7 Cl 0.499 0.676 0.649
8 Cl 0.499 0.176 0.851
9 Cl 0.750 0.308 0.585
10 Cl 0.750 0.005 0.410
11 Cl 0.250 0.995 0.590
12 Cl 0.501 0.324 0.351
13 Cl 0.501 0.824 0.149
14 Cl 0.250 0.192 0.085
15 Cl 0.999 0.324 0.351
16 Cl 0.750 0.505 0.090
17 Cs 0.750 0.481 0.824
18 Cs 0.250 0.519 0.176
19 Cs 0.750 0.981 0.676
20 Cs 0.250 0.019 0.324
21 Cs 0.750 0.638 0.414
22 Cs 0.750 0.138 0.086
23 Cs 0.250 0.862 0.914
24 Cs 0.250 0.362 0.586
25 Zn 0.250 0.269 0.926
26 Zn 0.750 0.231 0.426
27 Zn 0.250 0.769 0.574
28 Zn 0.750 0.731 0.074

Results
Space-group type: Pnma, No. 62



3.
A geometry-optimized Cs3ZnCl structure. Source: Alexandria via LeMat-Bulk, functional GGA-PBE.

Lattice parameters (Å, degrees): 6.812 6.812 6.812 90.00 90.00 90.00
Sites, in units of the cell vectors:
1 Cs 0.500 0.000 0.000
2 Cs 0.000 0.500 0.000
3 Cs 0.000 0.000 0.500
4 Zn 0.500 0.500 0.500
5 Cl 0.000 0.000 0.000

Results
Space-group type: Pm-3m, No. 221



4.
A geometry-optimized Cs3Zn5Cl12 structure. Source: Alexandria via LeMat-Bulk, functional GGA-PBE.

Lattice parameters (Å, degrees): 14.540 14.540 14.540 109.47 109.47 109.47
Sites, in units of the cell vectors:
1 Cs 0.250 0.125 0.375
2 Cs 0.375 0.750 0.625
3 Cs 0.250 0.625 0.875
4 Cs 0.750 0.375 0.125
5 Cs 0.125 0.875 0.750
6 Cs 0.625 0.250 0.375
7 Cs 0.625 0.375 0.750
8 Cs 0.750 0.875 0.625
9 Cs 0.125 0.250 0.875
10 Cs 0.875 0.125 0.250
11 Cs 0.375 0.625 0.250
12 Cs 0.875 0.750 0.125
13 Cl 0.188 0.085 0.687
14 Cl 0.603 0.001 0.688
15 Cl 0.313 0.898 0.001
16 Cl 0.499 0.312 0.897
17 Cl 0.602 0.999 0.187
18 Cl 0.313 0.415 0.812
19 Cl 0.312 0.813 0.415
20 Cl 0.999 0.397 0.812
21 Cl 0.187 0.499 0.602
22 Cl 0.188 0.103 0.001
23 Cl 0.687 0.102 0.999
24 Cl 0.813 0.312 0.915
25 Cl 0.398 0.001 0.813
26 Cl 0.501 0.688 0.103
27 Cl 0.085 0.897 0.398
28 Cl 0.813 0.501 0.398
29 Cl 0.397 0.999 0.312
30 Cl 0.415 0.313 0.312
31 Cl 0.999 0.602 0.687
32 Cl 0.688 0.501 0.603
33 Cl 0.103 0.188 0.501
34 Cl 0.687 0.585 0.188
35 Cl 0.085 0.188 0.187
36 Cl 0.103 0.915 0.102
37 Cl 0.898 0.313 0.501
38 Cl 0.102 0.687 0.499
39 Cl 0.897 0.085 0.898
40 Cl 0.915 0.812 0.813
41 Cl 0.897 0.812 0.499
42 Cl 0.915 0.103 0.602
43 Cl 0.501 0.813 0.898
44 Cl 0.585 0.687 0.688
45 Cl 0.102 0.415 0.103
46 Cl 0.603 0.602 0.415
47 Cl 0.499 0.187 0.102
48 Cl 0.812 0.897 0.999
49 Cl 0.602 0.603 0.915
50 Cl 0.812 0.915 0.313
51 Cl 0.688 0.187 0.585
52 Cl 0.001 0.603 0.188
53 Cl 0.312 0.499 0.397
54 Cl 0.398 0.397 0.085
55 Cl 0.415 0.102 0.603
56 Cl 0.187 0.688 0.085
57 Cl 0.898 0.585 0.897
58 Cl 0.585 0.898 0.397
59 Cl 0.001 0.398 0.313
60 Cl 0.397 0.398 0.585
61 Zn 0.375 0.125 0.750
62 Zn 0.125 0.375 0.250
63 Zn 0.875 0.250 0.625
64 Zn 0.500 0.000 0.500
65 Zn 0.125 0.750 0.375
66 Zn 0.000 0.000 0.500
67 Zn 0.250 0.375 0.625
68 Zn 0.875 0.625 0.750
69 Zn 0.000 0.000 0.000
70 Zn 0.250 0.875 0.125
71 Zn 0.500 0.000 0.000
72 Zn 0.375 0.250 0.125
73 Zn 0.750 0.125 0.875
74 Zn 0.625 0.750 0.875
75 Zn 0.500 0.500 0.000
76 Zn 0.750 0.625 0.375
77 Zn 0.000 0.500 0.000
78 Zn 0.000 0.500 0.500
79 Zn 0.500 0.500 0.500
80 Zn 0.625 0.875 0.250

Results
Space-group type: Ia-3d, No. 230



5.
A geometry-optimized Cs2Zn2Cl7 structure. Source: Alexandria via LeMat-Bulk, functional GGA-PBE.

Lattice parameters (Å, degrees): 6.594 7.845 8.586 101.76 107.97 81.58
Each line ends with the local moment (μB).
Sites, in units of the cell vectors:
1 Cl 0.000 0.000 0.000  0.00
2 Cl 0.867 0.905 0.539  0.29
3 Cl 0.556 0.748 0.704  0.10
4 Cl 0.869 0.464 0.181  0.01
5 Cl 0.131 0.536 0.819  0.01
6 Cl 0.133 0.095 0.461  0.29
7 Cl 0.444 0.252 0.296  0.10
8 Cs 0.373 0.700 0.254  0.00
9 Cs 0.627 0.300 0.746  0.00
10 Zn 0.090 0.227 0.234  0.01
11 Zn 0.910 0.773 0.766  0.01

Results
Space-group type: P-1, No. 2



6.
A geometry-optimized CsZn2Cl structure. Source: Alexandria via LeMat-Bulk, functional GGA-PBE.

Lattice parameters (Å, degrees): 5.938 5.938 5.938 60.00 60.00 60.00
Sites, in units of the cell vectors:
1 Zn 0.250 0.250 0.250
2 Zn 0.750 0.750 0.750
3 Cl 0.000 0.000 0.000
4 Cs 0.500 0.500 0.500

Results
Space-group type: Fm-3m, No. 225



7.
A geometry-optimized Cs2ZnCl4 structure. Source: Alexandria via LeMat-Bulk, functional GGA-PBE.

Lattice parameters (Å, degrees): 7.388 7.362 10.052 90.00 108.53 90.00
Sites, in units of the cell vectors:
1 Cl 0.910 0.250 0.658
2 Cl 0.840 0.250 0.021
3 Cl 0.502 0.504 0.278
4 Cl 0.498 0.496 0.722
5 Cl 0.090 0.750 0.342
6 Cl 0.160 0.750 0.979
7 Cl 0.498 0.004 0.722
8 Cl 0.502 0.996 0.278
9 Cs 0.295 0.250 0.964
10 Cs 0.705 0.750 0.036
11 Cs 0.807 0.750 0.579
12 Cs 0.193 0.250 0.421
13 Zn 0.302 0.750 0.218
14 Zn 0.698 0.250 0.782

Results
Space-group type: P2_1/m, No. 11



8.
A geometry-optimized Cs3Zn2Cl7 structure. Source: Alexandria via LeMat-Bulk, functional GGA-PBE.

Lattice parameters (Å, degrees): 5.084 5.201 13.665 100.97 90.00 90.00
Sites, in units of the cell vectors:
1 Cl 0.000 0.815 0.631
2 Cl 0.000 0.000 0.000
3 Cl 0.000 0.593 0.185
4 Cl 0.500 0.907 0.815
5 Cl 0.000 0.407 0.815
6 Cl 0.500 0.093 0.185
7 Cl 0.000 0.185 0.369
8 Cs 0.500 0.319 0.639
9 Cs 0.500 0.681 0.361
10 Cs 0.500 0.500 0.000
11 Zn 0.000 0.095 0.190
12 Zn 0.000 0.905 0.810

Results
Space-group type: Cmmm, No. 65



Respective energy values: -26.331, -89.230, -8.707, -226.807, -31.652, -6.377, -44.558, -36.287 eV for the cell shown.